P) Y3NbSb: optimized geometry, PBE.

Computed properties:
SG = Pm-3m, No. 221

a b c (Å): 5.627 5.627 5.627
angles (deg): 90.00 90.00 90.00
Element x y z (fractional)
1 Y 0.000 0.500 0.000
2 Y 0.000 0.000 0.500
3 Y 0.500 0.000 0.000
4 Sb 0.000 0.000 0.000
5 Nb 0.500 0.500 0.500

Q) Y3NbSb: optimized geometry, PBE.

Computed properties:
SG = Pm-3m, No. 221

a b c (Å): 5.392 5.392 5.392
angles (deg): 90.00 90.00 90.00
Element x y z (fractional)
1 Y 0.000 0.500 0.000
2 Y 0.000 0.000 0.500
3 Y 0.500 0.000 0.000
4 Sb 0.500 0.500 0.500
5 Nb 0.000 0.000 0.000

The structure shown above that is least stable: P).